[1]
# ScMnCd2 (GGA-PBE, optimized geometry)
# Total magnetization in μB/cell: 3.3
# Energy of formation in eV per atom: 0.07
data_ScMnCd2
_chemical_formula_sum 'Sc1 Mn1 Cd2'
_space_group_name_H-M_alt 'P 1 m 1'
_space_group_IT_number 6
_space_group_name_Hall 'P -2y'
_cell_length_a 3.102
_cell_length_b 4.522
_cell_length_c 6.050
_cell_angle_alpha 90.00
_cell_angle_beta 104.74
_cell_angle_gamma 90.00
loop_
_atom_site_label
_atom_site_type_symbol
_atom_site_fract_x
_atom_site_fract_y
_atom_site_fract_z
Sc1 Sc 0.000 0.000 0.000
Mn1 Mn 0.366 0.500 0.731
Cd1 Cd 0.612 0.500 0.225
Cd2 Cd 0.753 0.000 0.512

=====

[2]
# ScMnCd (GGA-PBE, optimized geometry)
# Total magnetization in μB/cell: 3.5
# Energy of formation in eV per atom: 0.09
# ΔE to the lowest computed polymorph in meV per atom: 105
data_ScMnCd
_chemical_formula_sum 'Sc1 Mn1 Cd1'
_space_group_name_H-M_alt 'P -6 m 2'
_space_group_IT_number 187
_space_group_name_Hall 'P -6 2'
_cell_length_a 4.7227
_cell_length_b 4.7227
_cell_length_c 3.0940
_cell_angle_alpha 90.00
_cell_angle_beta 90.00
_cell_angle_gamma 120.00
loop_
_atom_site_label
_atom_site_type_symbol
_atom_site_fract_x
_atom_site_fract_y
_atom_site_fract_z
Sc1 Sc 0.0000 0.0000 0.0000
Mn1 Mn 0.6667 0.3333 0.5000
Cd1 Cd 0.3333 0.6667 0.5000

=====

[3]
# ScMnCd (GGA-PBE, optimized geometry)
# Total magnetization in μB/cell: 2.7
# Energy of formation in eV per atom: 0.15
# ΔE to the lowest computed polymorph in meV per atom: 163
data_ScMnCd
_chemical_formula_sum 'Sc1 Mn1 Cd1'
_space_group_name_H-M_alt 'P 3 m 1'
_space_group_IT_number 156
_space_group_name_Hall 'P 3 -2"'
_cell_length_a 3.1064
_cell_length_b 3.1064
_cell_length_c 7.0901
_cell_angle_alpha 90.00
_cell_angle_beta 90.00
_cell_angle_gamma 120.00
loop_
_atom_site_label
_atom_site_type_symbol
_atom_site_fract_x
_atom_site_fract_y
_atom_site_fract_z
Sc1 Sc 0.0000 0.0000 0.0000
Mn1 Mn 0.6667 0.3333 0.6978
Cd1 Cd 0.3333 0.6667 0.3702

=====

[4]
# ScMnCd2 (GGA-PBE, optimized geometry)
# Total magnetization in μB/cell: 7.1
# Energy of formation in eV per atom: 0.07
data_ScMnCd2
_chemical_formula_sum 'Sc2 Mn2 Cd4'
_space_group_name_H-M_alt 'I -4 m 2'
_space_group_IT_number 119
_space_group_name_Hall 'I -4 -2'
_cell_length_a 4.436
_cell_length_b 4.436
_cell_length_c 8.058
_cell_angle_alpha 90.00
_cell_angle_beta 90.00
_cell_angle_gamma 90.00
loop_
_atom_site_label
_atom_site_type_symbol
_atom_site_fract_x
_atom_site_fract_y
_atom_site_fract_z
Sc1 Sc 0.000 0.000 0.000
Mn1 Mn 0.000 0.500 0.250
Cd1 Cd 0.000 0.000 0.500
Cd2 Cd 0.000 0.500 0.750

=====

[5]
# ScMn2Cd (GGA-PBE, optimized geometry)
# Total magnetization in μB/cell: 1.4
# Energy of formation in eV per atom: 0.01
data_ScMn2Cd
_chemical_formula_sum 'Sc1 Mn2 Cd1'
_space_group_name_H-M_alt 'P 4 m m'
_space_group_IT_number 99
_space_group_name_Hall 'P 4 -2'
_cell_length_a 3.037
_cell_length_b 3.037
_cell_length_c 7.390
_cell_angle_alpha 90.00
_cell_angle_beta 90.00
_cell_angle_gamma 90.00
loop_
_atom_site_label
_atom_site_type_symbol
_atom_site_fract_x
_atom_site_fract_y
_atom_site_fract_z
Sc1 Sc 0.000 0.000 0.000
Mn1 Mn 0.000 0.000 0.583
Mn2 Mn 0.500 0.500 0.748
Cd1 Cd 0.500 0.500 0.318

=====

[6]
# ScMn2Cd (GGA-PBE, optimized geometry)
# Total magnetization in μB/cell: 18.6
# Energy of formation in eV per atom: 0.31
data_ScMn2Cd
_chemical_formula_sum 'Sc3 Mn6 Cd3'
_space_group_name_H-M_alt 'R -3 m'
_space_group_IT_number 166
_space_group_name_Hall '-R 3 2"'
_cell_length_a 3.0209
_cell_length_b 3.0209
_cell_length_c 27.7935
_cell_angle_alpha 90.00
_cell_angle_beta 90.00
_cell_angle_gamma 120.00
loop_
_atom_site_label
_atom_site_type_symbol
_atom_site_fract_x
_atom_site_fract_y
_atom_site_fract_z
Sc1 Sc 0.0000 0.0000 0.0000
Mn1 Mn 0.0000 0.0000 0.2518
Cd1 Cd 0.0000 0.0000 0.5000

=====

Question: Which value of energy of formation does entry 2 give?
Answer: 0.09 eV per atom